MgTaTc3: relaxed, PBEsol.

Results
- DOS(E_F) (states/eV per cell) = 8.8
- total DFT energy (no corrections) (eV for the cell shown) = -38.79
- total magnetic moment (μB/cell) = 0.85

Cell: 4.3737 4.3737 4.3737 Å, 90.00 90.00 90.00°
Site moments in Bohr magnetons follow the coordinates.
Fractional positions:
Mg: 0.0000 0.0000 0.0000  0.02
Tc: 0.0000 0.5000 0.0000  0.28
Tc: 0.0000 0.0000 0.5000  0.28
Tc: 0.5000 0.0000 0.0000  0.28
Ta: 0.5000 0.5000 0.5000  -0.02